1.
NpTePt | GGA-PBE | relaxed

Output
Energy relative to the elements, uncorrected ... -572 meV per atom
Theoretical density ... 12.19 g/cm3
Energy relative to the lowest polymorph listed for this composition ... 0.0000 eV per atom

a b c (Å): 4.0994 3.7929 9.9866
angles (deg): 79.05 90.00 90.00
With the nearest neighbours (Å) after each atom.
Sites, in units of the cell vectors:
Pt: 0.7500 0.4567 0.0866  2 Pt 2.66, 1 Te 2.72, 4 Np 2.98
Pt: 0.2500 0.5433 0.9134  2 Pt 2.66, 1 Te 2.72, 4 Np 2.98
Te: 0.7500 0.3182 0.3636  1 Pt 2.72
Te: 0.2500 0.6818 0.6364  1 Pt 2.72
Np: 0.7500 0.0965 0.8070  6 Pt 2.98-3.33, 4 Te 3.26
Np: 0.2500 0.9035 0.1930  6 Pt 2.98-3.33, 4 Te 3.26

***

2.
ThNpPt4 | GGA-PBE | relaxed

Output
Formation enthalpy at 0 K ... -79.2 kJ per mole of atoms
Theoretical density ... 17.72 g/cm3

a b c (Å): 5.4916 5.4916 5.4916
angles (deg): 60.00 60.00 60.00
With the nearest neighbours (Å) after each atom.
Sites, in units of the cell vectors:
Np: 0.2500 0.2500 0.2500  12 Pt 3.22, 4 Th 3.36
Pt: 0.6246 0.6246 0.1262  6 Pt 2.74-2.75
Pt: 0.6246 0.1262 0.6246  6 Pt 2.74-2.75
Pt: 0.6246 0.6246 0.6246  6 Pt 2.74-2.75
Pt: 0.1262 0.6246 0.6246  6 Pt 2.74-2.75
Th: 0.0000 0.0000 0.0000  12 Pt 3.22, 4 Np 3.36

***

3.
ThNp2Pt9 | GGA-PBE | relaxed

Output
Formation enthalpy at 0 K ... -70.7 kJ per mole of atoms
Theoretical density ... 18.10 g/cm3

a b c (Å): 5.4014 5.4014 9.4677
angles (deg): 73.43 73.43 60.00
With the nearest neighbours (Å) after each atom.
Sites, in units of the cell vectors:
Th: 0.0000 0.0000 0.0000  6 Pt 3.12
Np: 0.8568 0.8568 0.4297  12 Pt 3.11-3.20, 3 Np 3.36
Np: 0.1432 0.1432 0.5703  12 Pt 3.11-3.20, 3 Np 3.36
Pt: 0.6671 0.6671 0.9988  6 Pt 2.75-2.79
Pt: 0.3329 0.3329 0.0012  6 Pt 2.75-2.79
Pt: 0.5000 0.5000 0.5000  6 Pt 2.69
Pt: 0.4129 0.4129 0.2564  7 Pt 2.67-2.79
Pt: 0.9178 0.4129 0.2564  7 Pt 2.67-2.79
Pt: 0.4129 0.9178 0.2564  7 Pt 2.67-2.79
Pt: 0.5871 0.5871 0.7436  7 Pt 2.67-2.79
Pt: 0.5871 0.0822 0.7436  7 Pt 2.67-2.79
Pt: 0.0822 0.5871 0.7436  7 Pt 2.67-2.79

***

4.
ThNpPt6 | GGA-PBE | relaxed

Output
Formation enthalpy at 0 K ... -82.0 kJ per mole of atoms
Theoretical density ... 18.39 g/cm3

a b c (Å): 4.1964 4.1964 8.4066
angles (deg): 90.00 90.00 90.00
With the nearest neighbours (Å) after each atom.
Sites, in units of the cell vectors:
Th: 0.0000 0.0000 0.5000  12 Pt 2.97-2.99
Np: 0.0000 0.0000 0.0000  12 Pt 2.95-2.97
Pt: 0.5000 0.5000 0.0000  8 Pt 2.95, 4 Np 2.97
Pt: 0.5000 0.5000 0.5000  4 Th 2.97, 8 Pt 2.99
Pt: 0.5000 0.0000 0.2473  8 Pt 2.95-2.99, 2 Np 2.95, 2 Th 2.99
Pt: 0.5000 0.0000 0.7527  8 Pt 2.95-2.99, 2 Np 2.95, 2 Th 2.99
Pt: 0.0000 0.5000 0.2473  2 Np 2.95, 8 Pt 2.95-2.99, 2 Th 2.99
Pt: 0.0000 0.5000 0.7527  2 Np 2.95, 8 Pt 2.95-2.99, 2 Th 2.99

***

5.
Th2Np2Pt15 | GGA-PBE | relaxed

Output
Formation enthalpy at 0 K ... -63.3 kJ per mole of atoms
Theoretical density ... 18.44 g/cm3

a b c (Å): 7.0984 7.0984 7.0984
angles (deg): 81.93 81.93 81.93
With the nearest neighbours (Å) after each atom.
Sites, in units of the cell vectors:
Th: 0.3529 0.3529 0.3529  12 Pt 3.16-3.41
Th: 0.6471 0.6471 0.6471  12 Pt 3.16-3.41
Np: 0.0827 0.0827 0.0827  1 Np 2.30
Np: 0.9173 0.9173 0.9173  1 Np 2.30
Pt: 0.5000 0.0000 0.0000  8 Pt 2.70-2.76, 2 Np 2.93
Pt: 0.0000 0.0000 0.5000  8 Pt 2.70-2.76, 2 Np 2.93
Pt: 0.0000 0.5000 0.0000  8 Pt 2.70-2.76, 2 Np 2.93
Pt: 0.0000 0.6772 0.3228  8 Pt 2.76-3.00
Pt: 0.6772 0.3228 0.0000  8 Pt 2.76-3.00
Pt: 0.3228 0.0000 0.6772  8 Pt 2.76-3.00
Pt: 0.3228 0.6772 0.0000  8 Pt 2.76-3.00
Pt: 0.6772 0.0000 0.3228  8 Pt 2.76-3.00
Pt: 0.0000 0.3228 0.6772  8 Pt 2.76-3.00
Pt: 0.1632 0.6593 0.6593  8 Pt 2.67-2.84, 1 Np 2.98
Pt: 0.6593 0.6593 0.1632  8 Pt 2.67-2.84, 1 Np 2.98
Pt: 0.6593 0.1632 0.6593  8 Pt 2.67-2.84, 1 Np 2.98
Pt: 0.8368 0.3407 0.3407  8 Pt 2.67-2.84, 1 Np 2.98
Pt: 0.3407 0.3407 0.8368  8 Pt 2.67-2.84, 1 Np 2.98
Pt: 0.3407 0.8368 0.3407  8 Pt 2.67-2.84, 1 Np 2.98

***

6.
Th4NpPt15 | GGA-PBE | relaxed

Output
Formation enthalpy at 0 K ... -96.6 kJ per mole of atoms
Theoretical density ... 18.08 g/cm3

a b c (Å): 4.2183 4.2183 21.1132
angles (deg): 90.00 90.00 90.00
With the nearest neighbours (Å) after each atom.
Sites, in units of the cell vectors:
Th: 0.0000 0.0000 0.1973  12 Pt 2.97-3.01
Th: 0.0000 0.0000 0.3992  12 Pt 2.98-3.00
Th: 0.0000 0.0000 0.6008  12 Pt 2.98-3.00
Th: 0.0000 0.0000 0.8027  12 Pt 2.97-3.01
Np: 0.0000 0.0000 0.0000  12 Pt 2.96-2.98
Pt: 0.5000 0.5000 0.0000  8 Pt 2.96, 4 Np 2.98
Pt: 0.5000 0.5000 0.1993  8 Pt 2.98-3.00, 4 Th 2.98
Pt: 0.5000 0.5000 0.3997  4 Th 2.98, 8 Pt 2.99
Pt: 0.5000 0.5000 0.6003  4 Th 2.98, 8 Pt 2.99
Pt: 0.5000 0.5000 0.8007  8 Pt 2.98-3.00, 4 Th 2.98
Pt: 0.5000 0.0000 0.0985  8 Pt 2.96-3.00, 2 Np 2.96, 2 Th 2.97
Pt: 0.5000 0.0000 0.2991  8 Pt 2.98-2.99, 4 Th 2.99-3.01
Pt: 0.5000 0.0000 0.5000  8 Pt 2.98-2.99, 4 Th 3.00
Pt: 0.5000 0.0000 0.7009  8 Pt 2.98-2.99, 4 Th 2.99-3.01
Pt: 0.5000 0.0000 0.9015  8 Pt 2.96-3.00, 2 Np 2.96, 2 Th 2.97
Pt: 0.0000 0.5000 0.0985  2 Np 2.96, 8 Pt 2.96-3.00, 2 Th 2.97
Pt: 0.0000 0.5000 0.2991  8 Pt 2.98-2.99, 4 Th 2.99-3.01
Pt: 0.0000 0.5000 0.5000  8 Pt 2.98-2.99, 4 Th 3.00
Pt: 0.0000 0.5000 0.7009  8 Pt 2.98-2.99, 4 Th 2.99-3.01
Pt: 0.0000 0.5000 0.9015  2 Np 2.96, 8 Pt 2.96-3.00, 2 Th 2.97